A plane-wave DFT calculation with PBE-GGA was carried out for an optimized crystal structure of Y2GaPd3.

Properties
total magnetic moment	0.000	μB per atom
formation energy	-0.853	eV per atom
E_tot	-0.224	hartree per atom
SG	No. 194
offset from the most stable computed form	0.000	eV per atom

The structure in extended XYZ format:
```
12
Lattice="5.572 0.000 0.000 -2.786 4.826 0.000 0.000 0.000 8.489" Properties=species:S:1:pos:R:3 pbc="T T T"
Y 0.000 3.217 0.470
Y 0.000 3.217 3.775
Y 2.786 1.609 4.715
Y 2.786 1.609 8.019
Ga 0.000 0.000 0.000
Ga 0.000 0.000 4.245
Pd 0.000 1.620 6.367
Pd -1.383 4.016 6.367
Pd 1.403 0.810 2.122
Pd 1.383 4.016 6.367
Pd 4.169 0.810 2.122
Pd 2.786 3.206 2.122
```

***

A plane-wave DFT calculation with PBE-GGA was carried out for an optimized crystal structure of Zn2AsSe.

Properties
total magnetic moment	0.000	μB per atom
uncorrected formation energy	-160	meV per atom
E_tot	-0.104	hartree per atom
SG	No. 6

The structure in extended XYZ format:
```
4
Lattice="3.773 0.000 0.000 0.000 3.999 0.000 -0.034 0.000 6.415" Properties=species:S:1:pos:R:3 pbc="T T T"
Zn 0.000 0.000 0.000
Zn 1.886 1.999 0.206
As 1.887 0.000 1.803
Se 3.739 1.999 4.887
```

***

A plane-wave DFT calculation with PBE-GGA was carried out for an optimized crystal structure of SnH3Pd6.

Properties
total magnetic moment	0.000	μB per atom
E_tot	-0.174	hartree per atom
SG	No. 63

The structure in extended XYZ format:
```
20
Lattice="3.550 -6.136 0.000 3.550 6.136 0.000 0.000 0.000 5.700" Properties=species:S:1:pos:R:3 pbc="T T T"
Sn 3.550 3.327 4.275
Sn 3.550 -3.327 1.425
H 1.832 0.280 4.275
H 1.832 -0.280 1.425
H 3.550 1.585 1.425
H 3.550 -1.585 4.275
H 5.268 0.280 4.275
H 5.268 -0.280 1.425
Pd 3.550 6.091 4.275
Pd 2.096 1.433 0.012
Pd 2.096 1.433 2.838
Pd 3.550 3.399 1.425
Pd 2.096 -1.433 2.862
Pd 2.096 -1.433 5.688
Pd 5.004 1.433 0.012
Pd 5.004 1.433 2.838
Pd 3.550 -3.399 4.275
Pd 5.004 -1.433 2.862
Pd 5.004 -1.433 5.688
Pd 3.550 -6.091 1.425
```